1.
Below is a PBEsol-optimized structure of Ba2CaAu, with properties calculated at the SCAN level.

Cell lengths 10.7604, 10.7604, 10.7604 Å; angles 23.80, 23.80, 23.80 degrees
Closest atoms and distances in Å follow each position.
Atoms (fractional coordinates):
Ba 0.0000 0.0000 0.0000  3 Ca 4.19, 9 Ba 4.44-4.59
Ba 0.2120 0.2120 0.2120  3 Au 3.20
Ca 0.7723 0.7723 0.7723  3 Au 2.93
Au 0.4842 0.4842 0.4842  3 Ca 2.93, 3 Ba 3.20

## Properties
Energy above the lowest structure with this stoichiometry = 3 meV/atom
Formation enthalpy at 0 K = -0.44 eV/atom

---

2.
Below is a PBEsol-optimized structure of Ba2CaAu, with properties calculated at the SCAN level.

Cell lengths 4.1854, 8.2027, 8.2027 Å; angles 36.38, 90.00, 90.00 degrees
Closest atoms and distances in Å follow each position.
Atoms (fractional coordinates):
Ba 0.0000 0.0000 0.0000  4 Au 3.37
Ba 0.5000 0.3276 0.3276  1 Au 3.33
Ca 0.0000 0.6797 0.6797  2 Au 3.01
Au 0.5000 0.5411 0.5411  2 Ca 3.01, 5 Ba 3.33-3.37

## Properties
Energy above the lowest structure with this stoichiometry = 27 meV/atom
Formation enthalpy at 0 K = -0.41 eV/atom

---

3.
Below is a PBEsol-optimized structure of Ba2CaPtAu, with properties calculated at the SCAN level.

Cell lengths 5.9820, 5.9820, 5.3785 Å; angles 90.00, 90.00, 90.00 degrees
Closest atoms and distances in Å follow each position.
Atoms (fractional coordinates):
Ba 0.0000 0.5000 0.0000  2 Pt 2.99
Ba 0.5000 0.0000 0.0000  2 Pt 2.99
Ca 0.0000 0.0000 0.5000  2 Pt 2.69
Pt 0.0000 0.0000 0.0000  2 Ca 2.69, 4 Ba 2.99
Au 0.5000 0.5000 0.5000  8 Ba 4.02, 4 Ca 4.23

## Properties
Formation enthalpy at 0 K = -0.53 eV/atom

---

4.
Below is a PBEsol-optimized structure of Ba2Cd2Au, with properties calculated at the SCAN level.

Cell lengths 6.1384, 6.1384, 6.1384 Å; angles 115.40, 115.40, 98.18 degrees
Closest atoms and distances in Å follow each position.
Atoms (fractional coordinates):
Ba 0.2500 0.7500 0.5000  4 Cd 3.35
Ba 0.7500 0.2500 0.5000  4 Cd 3.35
Cd 0.1630 0.1630 0.0000  1 Cd 2.62, 1 Au 2.71
Cd 0.8370 0.8370 0.0000  1 Cd 2.62, 1 Au 2.71
Au 0.5000 0.5000 0.0000  2 Cd 2.71

## Properties
Formation enthalpy at 0 K = -0.27 eV/atom

---

5.
Below is a PBEsol-optimized structure of Ba2CdAu2, with properties calculated at the SCAN level.

Cell lengths 10.1515, 10.1515, 10.1515 Å; angles 157.57, 157.57, 31.92 degrees
Closest atoms and distances in Å follow each position.
Atoms (fractional coordinates):
Ba 0.1140 0.1140 0.0000  4 Au 3.31, 4 Cd 3.57
Ba 0.8860 0.8860 0.0000  4 Au 3.31, 4 Cd 3.57
Cd 0.5000 0.5000 0.0000  8 Ba 3.57, 4 Cd 3.95
Au 0.2500 0.7500 0.5000  4 Au 2.79
Au 0.7500 0.2500 0.5000  4 Au 2.79

## Properties
Formation enthalpy at 0 K = -0.46 eV/atom

---

6.
Below is a PBEsol-optimized structure of BaCdAuO2, with properties calculated at the SCAN level.

Cell lengths 4.3098, 4.3098, 9.0817 Å; angles 90.00, 90.00, 90.00 degrees
Closest atoms and distances in Å follow each position.
Atoms (fractional coordinates):
Ba 0.0000 0.0000 0.0000  4 O 2.15
Cd 0.0000 0.0000 0.5000  4 Au 3.05
Au 0.5000 0.5000 0.5000  4 Cd 3.05
O 0.0000 0.5000 0.0000  2 Ba 2.15
O 0.5000 0.0000 0.0000  2 Ba 2.15

## Properties
E_form (uncorrected) = -48 meV/atom

---

7.
Below is a PBEsol-optimized structure of CsBaAuCl2, with properties calculated at the SCAN level.

Cell lengths 5.9112, 5.9112, 6.2001 Å; angles 90.00, 90.00, 90.00 degrees
Closest atoms and distances in Å follow each position.
Atoms (fractional coordinates):
Cs 0.0000 0.0000 0.0000  4 Au 4.18, 8 Cl 4.28
Ba 0.5000 0.5000 0.5000  4 Cl 2.96, 2 Au 3.10
Au 0.5000 0.5000 0.0000  2 Ba 3.10
Cl 0.0000 0.5000 0.5000  2 Ba 2.96
Cl 0.5000 0.0000 0.5000  2 Ba 2.96

## Properties
E_form (uncorrected) = -1744 meV/atom

---

8.
Below is a PBEsol-optimized structure of BaAuS2Cl, with properties calculated at the SCAN level.

Cell lengths 5.9014, 5.9014, 5.7124 Å; angles 90.00, 90.00, 90.00 degrees
Closest atoms and distances in Å follow each position.
Atoms (fractional coordinates):
Ba 0.0000 0.0000 0.0000  2 Cl 2.86, 4 S 2.95
Au 0.5000 0.5000 0.5000  8 S 4.11, 4 Cl 4.17
S 0.0000 0.5000 0.0000  2 Ba 2.95
S 0.5000 0.0000 0.0000  2 Ba 2.95
Cl 0.0000 0.0000 0.5000  2 Ba 2.86

## Properties
E_form (uncorrected) = 247 meV/atom
Energy above the lowest structure with this stoichiometry = 1289 meV/atom

---

9.
Below is a PBEsol-optimized structure of BaAuS2Cl, with properties calculated at the SCAN level.

Cell lengths 4.8656, 4.8656, 5.0142 Å; angles 90.00, 90.00, 90.00 degrees
Closest atoms and distances in Å follow each position.
Atoms (fractional coordinates):
Ba 0.0000 0.0000 0.0000  4 Cl 3.44, 8 S 3.49
Au 0.5000 0.5000 0.5000  4 S 2.43, 2 Cl 2.51
S 0.0000 0.5000 0.5000  2 Au 2.43
S 0.5000 0.0000 0.5000  2 Au 2.43
Cl 0.5000 0.5000 0.0000  2 Au 2.51

## Properties
E_form (uncorrected) = -1042 meV/atom
Energy above the lowest structure with this stoichiometry = 0 meV/atom

---

10.
Below is a PBEsol-optimized structure of BaAuSe2Cl, with properties calculated at the SCAN level.

Cell lengths 5.0266, 5.0266, 5.7218 Å; angles 90.00, 90.00, 90.00 degrees
Closest atoms and distances in Å follow each position.
Atoms (fractional coordinates):
Ba 0.0000 0.0000 0.0000  2 Cl 2.86
Au 0.5000 0.5000 0.0000  4 Ba 3.55, 8 Se 3.81
Se 0.0000 0.5000 0.5000  2 Cl 2.51
Se 0.5000 0.0000 0.5000  2 Cl 2.51
Cl 0.0000 0.0000 0.5000  4 Se 2.51

## Properties
E_form (uncorrected) = -157 meV/atom

---

11.
Below is a PBEsol-optimized structure of BaCo2Au, with properties calculated at the SCAN level.

Cell lengths 5.4331, 5.4331, 5.4331 Å; angles 143.44, 123.99, 68.77 degrees
Closest atoms and distances in Å follow each position.
Atoms (fractional coordinates):
Ba 0.0000 0.0000 0.0000  8 Co 3.05-3.22, 4 Au 3.07, 2 Ba 3.41
Co 0.2816 0.7816 0.5000  2 Au 2.60
Co 0.7184 0.2184 0.5000  2 Au 2.60
Au 0.5000 0.5000 0.0000  4 Co 2.60

## Properties
Formation enthalpy at 0 K = 0.51 eV/atom

---

12.
Below is a PBEsol-optimized structure of BaCo2Au, with properties calculated at the SCAN level.

Cell lengths 5.3085, 5.3085, 5.3085 Å; angles 134.63, 134.63, 66.11 degrees
Closest atoms and distances in Å follow each position.
Atoms (fractional coordinates):
Ba 0.0000 0.0000 0.0000  8 Co 2.90-3.02, 4 Au 3.02
Co 0.5000 0.5000 0.0000  4 Ba 2.90, 4 Co 3.02, 4 Au 3.02
Co 0.7500 0.2500 0.5000  4 Au 2.90, 4 Co 3.02, 4 Ba 3.02
Au 0.2500 0.7500 0.5000  8 Co 2.90-3.02, 4 Ba 3.02

## Properties
Formation enthalpy at 0 K = 0.69 eV/atom